Entry 1:
Density functional theory data (PBE) for a relaxed NaAlSiPd crystal.

POSCAR file:
```
NaAlSiPd
1.0
6.3218 0.0000 0.0000
0.0000 6.3218 0.0000
0.0000 0.0000 6.3218
Na Al Si Pd
4 4 4 4
Cartesian
0.0000 0.0000 0.0000
0.0000 3.1609 3.1609
3.1609 0.0000 3.1609
3.1609 3.1609 0.0000
1.5805 1.5805 1.5805
1.5805 4.7414 4.7414
4.7414 1.5805 4.7414
4.7414 4.7414 1.5805
1.5805 1.5805 4.7414
1.5805 4.7414 1.5805
4.7414 1.5805 1.5805
4.7414 4.7414 4.7414
0.0000 0.0000 3.1609
0.0000 3.1609 0.0000
3.1609 0.0000 0.0000
3.1609 3.1609 3.1609
```

Entry 2:
Density functional theory data (PBE) for a relaxed LuZrCuPt crystal.

POSCAR file:
```
LuZrCuPt
1.0
6.7131 0.0000 0.0000
0.0000 6.7131 0.0000
0.0000 0.0000 6.7131
Lu Zr Cu Pt
4 4 4 4
Cartesian
0.0000 0.0000 0.0000
0.0000 3.3566 3.3566
3.3566 0.0000 3.3566
3.3566 3.3566 0.0000
0.0000 0.0000 3.3566
0.0000 3.3566 0.0000
3.3566 0.0000 0.0000
3.3566 3.3566 3.3566
1.6783 1.6783 5.0348
1.6783 5.0348 1.6783
5.0348 1.6783 1.6783
5.0348 5.0348 5.0348
1.6783 1.6783 1.6783
1.6783 5.0348 5.0348
5.0348 1.6783 5.0348
5.0348 5.0348 1.6783
```

Results
As for the energy relative to the elements: -0.664 eV/atom.

| no. | final energy (eV per atom) | theoretical density (g/cm3) | energy above the most stable polymorph in this dataset (meV/atom) |
| --- | --- | --- | --- |
| 1 | -4.013 | 4.850 | 0 |
| 2 | -6.375 | 11.523 | 0 |